# 1
Density functional theory data (PBE) for an optimized crystal structure of Ti4SiAs.

Output
total moment = 0.999 Bohr magnetons per cell
SG = P2_1/c
formation energy without anion corrections = -278 meV per atom

Geometry as CIF:
```
data_Ti4SiAs
_chemical_formula_sum 'Ti8 Si2 As2'
_symmetry_space_group_name_H-M 'P 1'
_symmetry_Int_Tables_number 1
_symmetry_space_group_name_Hall 'P 1'
_cell_length_a 5.9511
_cell_length_b 6.0276
_cell_length_c 6.0468
_cell_angle_alpha 90.00
_cell_angle_beta 93.81
_cell_angle_gamma 90.00
loop_
_atom_site_label
_atom_site_type_symbol
_atom_site_fract_x
_atom_site_fract_y
_atom_site_fract_z
Ti1 Ti 0.1284 0.1418 0.3685
Ti2 Ti 0.1284 0.3582 0.8685
Ti3 Ti 0.3510 0.6406 0.3468
Ti4 Ti 0.3510 0.8594 0.8468
Ti5 Ti 0.6490 0.1406 0.1532
Ti6 Ti 0.6490 0.3594 0.6532
Ti7 Ti 0.8716 0.6418 0.1315
Ti8 Ti 0.8716 0.8582 0.6315
Si1 Si 0.0000 0.0000 0.0000
Si2 Si 0.0000 0.5000 0.5000
As1 As 0.5000 0.0000 0.5000
As2 As 0.5000 0.5000 0.0000
```

---

# 2
Density functional theory data (PBE) for an optimized crystal structure of Sm4HoTl3.

Output
total moment = 0.000 Bohr magnetons per cell
SG = C2/m
energy relative to the lowest polymorph listed for this composition = 0 meV/atom
energy relative to the elements = -0.26 eV per atom

Geometry as CIF:
```
data_Sm4HoTl3
_chemical_formula_sum 'Sm4 Ho1 Tl3'
_symmetry_space_group_name_H-M 'P 1'
_symmetry_Int_Tables_number 1
_symmetry_space_group_name_Hall 'P 1'
_cell_length_a 11.9412
_cell_length_b 11.9412
_cell_length_c 5.4735
_cell_angle_alpha 102.70
_cell_angle_beta 102.70
_cell_angle_gamma 18.29
loop_
_atom_site_label
_atom_site_type_symbol
_atom_site_fract_x
_atom_site_fract_y
_atom_site_fract_z
Sm1 Sm 0.1242 0.1242 0.1321
Sm2 Sm 0.2328 0.2328 0.7340
Sm3 Sm 0.7672 0.7672 0.2660
Sm4 Sm 0.8758 0.8758 0.8679
Ho1 Ho 0.0000 0.0000 0.5000
Tl1 Tl 0.3844 0.3844 0.3748
Tl2 Tl 0.5000 0.5000 0.0000
Tl3 Tl 0.6156 0.6156 0.6252
```

---

# 3
Density functional theory data (PBE) for an optimized crystal structure of PmTlGe2Br8.

Output
total moment = 0.000 Bohr magnetons per cell
SG = P-1
formation energy without anion corrections = -1017 meV per atom

Geometry as CIF:
```
data_PmTlGe2Br8
_chemical_formula_sum 'Pm1 Tl1 Ge2 Br8'
_symmetry_space_group_name_H-M 'P 1'
_symmetry_Int_Tables_number 1
_symmetry_space_group_name_Hall 'P 1'
_cell_length_a 6.7342
_cell_length_b 7.2930
_cell_length_c 9.3209
_cell_angle_alpha 85.93
_cell_angle_beta 87.97
_cell_angle_gamma 86.20
loop_
_atom_site_label
_atom_site_type_symbol
_atom_site_fract_x
_atom_site_fract_y
_atom_site_fract_z
Pm1 Pm 0.0000 0.0000 0.0000
Tl1 Tl 0.0000 0.0000 0.5000
Ge1 Ge 0.4581 0.4572 0.7541
Ge2 Ge 0.5419 0.5428 0.2459
Br1 Br 0.2338 0.8183 0.7834
Br2 Br 0.2421 0.3233 0.9704
Br3 Br 0.2650 0.8517 0.2235
Br4 Br 0.2711 0.3598 0.5528
Br5 Br 0.7289 0.6402 0.4472
Br6 Br 0.7350 0.1483 0.7765
Br7 Br 0.7579 0.6767 0.0296
Br8 Br 0.7662 0.1817 0.2166
```

---

# 4
Density functional theory data (PBE) for an optimized crystal structure of ZnMoIN2.

Output
total moment = 1.407 Bohr magnetons per cell
SG = P4/mmm
energy relative to the lowest polymorph listed for this composition = 1477 meV/atom
formation energy without anion corrections = 2069 meV per atom

Geometry as CIF:
```
data_ZnMoIN2
_chemical_formula_sum 'Zn1 Mo1 I1 N2'
_symmetry_space_group_name_H-M 'P 1'
_symmetry_Int_Tables_number 1
_symmetry_space_group_name_Hall 'P 1'
_cell_length_a 3.9408
_cell_length_b 3.9408
_cell_length_c 5.3471
_cell_angle_alpha 90.00
_cell_angle_beta 90.00
_cell_angle_gamma 90.00
loop_
_atom_site_label
_atom_site_type_symbol
_atom_site_fract_x
_atom_site_fract_y
_atom_site_fract_z
Zn1 Zn 0.0000 0.0000 0.0000
Mo1 Mo 0.5000 0.5000 0.5000
I1 I 0.0000 0.0000 0.5000
N1 N 0.0000 0.5000 0.0000
N2 N 0.5000 0.0000 0.0000
```

---

# 5
Density functional theory data (PBE) for an optimized crystal structure of CeY2Hg5.

Output
total moment = 1.073 Bohr magnetons per cell
SG = I4/mmm
energy relative to the elements = -0.41 eV per atom

Geometry as CIF:
```
data_CeY2Hg5
_chemical_formula_sum 'Ce1 Y2 Hg5'
_symmetry_space_group_name_H-M 'P 1'
_symmetry_Int_Tables_number 1
_symmetry_space_group_name_Hall 'P 1'
_cell_length_a 8.2318
_cell_length_b 8.2318
_cell_length_c 8.2318
_cell_angle_alpha 142.54
_cell_angle_beta 142.54
_cell_angle_gamma 54.02
loop_
_atom_site_label
_atom_site_type_symbol
_atom_site_fract_x
_atom_site_fract_y
_atom_site_fract_z
Ce1 Ce 0.0000 0.0000 0.0000
Y1 Y 0.2677 0.2677 0.0000
Y2 Y 0.7323 0.7323 0.0000
Hg1 Hg 0.1276 0.6276 0.5000
Hg2 Hg 0.3724 0.8724 0.5000
Hg3 Hg 0.5000 0.5000 0.0000
Hg4 Hg 0.6276 0.1276 0.5000
Hg5 Hg 0.8724 0.3724 0.5000
```

---

# 6
Density functional theory data (PBE) for an optimized crystal structure of Nb2CrW.

Output
total moment = 0.001 Bohr magnetons per cell
SG = I-42d
energy relative to the lowest polymorph listed for this composition = 744 meV/atom
energy relative to the elements = 0.76 eV per atom

Geometry as CIF:
```
data_Nb2CrW
_chemical_formula_sum 'Nb4 Cr2 W2'
_symmetry_space_group_name_H-M 'P 1'
_symmetry_Int_Tables_number 1
_symmetry_space_group_name_Hall 'P 1'
_cell_length_a 5.7146
_cell_length_b 5.7146
_cell_length_c 5.7146
_cell_angle_alpha 102.99
_cell_angle_beta 102.99
_cell_angle_gamma 123.39
loop_
_atom_site_label
_atom_site_type_symbol
_atom_site_fract_x
_atom_site_fract_y
_atom_site_fract_z
Nb1 Nb 0.1055 0.6250 0.9805
Nb2 Nb 0.3750 0.3555 0.4805
Nb3 Nb 0.6445 0.1250 0.0195
Nb4 Nb 0.8750 0.8945 0.5195
Cr1 Cr 0.0000 0.0000 0.0000
Cr2 Cr 0.7500 0.2500 0.5000
W1 W 0.2500 0.7500 0.5000
W2 W 0.5000 0.5000 0.0000
```

---

# 7
Density functional theory data (PBE) for an optimized crystal structure of CeCdGe2Pt5.

Output
total moment = 0.270 Bohr magnetons per cell
SG = P4/mmm
energy relative to the elements = -0.57 eV per atom

Geometry as CIF:
```
data_CeCdGe2Pt5
_chemical_formula_sum 'Ce1 Cd1 Ge2 Pt5'
_symmetry_space_group_name_H-M 'P 1'
_symmetry_Int_Tables_number 1
_symmetry_space_group_name_Hall 'P 1'
_cell_length_a 4.3363
_cell_length_b 4.3363
_cell_length_c 8.8548
_cell_angle_alpha 90.00
_cell_angle_beta 90.00
_cell_angle_gamma 90.00
loop_
_atom_site_label
_atom_site_type_symbol
_atom_site_fract_x
_atom_site_fract_y
_atom_site_fract_z
Ce1 Ce 0.0000 0.0000 0.0000
Cd1 Cd 0.0000 0.0000 0.5000
Ge1 Ge 0.5000 0.5000 0.3647
Ge2 Ge 0.5000 0.5000 0.6353
Pt1 Pt 0.0000 0.5000 0.2282
Pt2 Pt 0.0000 0.5000 0.7718
Pt3 Pt 0.5000 0.0000 0.2282
Pt4 Pt 0.5000 0.0000 0.7718
Pt5 Pt 0.5000 0.5000 0.0000
```

---

# 8
Density functional theory data (PBE) for an optimized crystal structure of Nd2SmAg2Hg2.

Output
total moment = 0.000 Bohr magnetons per cell
SG = R-3m
energy relative to the elements = -0.25 eV per atom

Geometry as CIF:
```
data_Nd2SmAg2Hg2
_chemical_formula_sum 'Nd2 Sm1 Ag2 Hg2'
_symmetry_space_group_name_H-M 'P 1'
_symmetry_Int_Tables_number 1
_symmetry_space_group_name_Hall 'P 1'
_cell_length_a 9.3770
_cell_length_b 9.3770
_cell_length_c 9.3770
_cell_angle_alpha 30.40
_cell_angle_beta 30.40
_cell_angle_gamma 30.40
loop_
_atom_site_label
_atom_site_type_symbol
_atom_site_fract_x
_atom_site_fract_y
_atom_site_fract_z
Nd1 Nd 0.1232 0.1232 0.1232
Nd2 Nd 0.8768 0.8768 0.8768
Sm1 Sm 0.0000 0.0000 0.0000
Ag1 Ag 0.3955 0.3955 0.3955
Ag2 Ag 0.6045 0.6045 0.6045
Hg1 Hg 0.2633 0.2633 0.2633
Hg2 Hg 0.7367 0.7367 0.7367
```

---

# 9
Density functional theory data (PBE) for an optimized crystal structure of VFe2Pd6.

Output
total moment = 5.449 Bohr magnetons per cell
SG = Fmmm
energy relative to the lowest polymorph listed for this composition = 0 meV/atom
energy relative to the elements = -0.18 eV per atom

Geometry as CIF:
```
data_VFe2Pd6
_chemical_formula_sum 'V1 Fe2 Pd6'
_symmetry_space_group_name_H-M 'P 1'
_symmetry_Int_Tables_number 1
_symmetry_space_group_name_Hall 'P 1'
_cell_length_a 8.1706
_cell_length_b 6.1773
_cell_length_c 6.0177
_cell_angle_alpha 84.12
_cell_angle_beta 48.77
_cell_angle_gamma 47.11
loop_
_atom_site_label
_atom_site_type_symbol
_atom_site_fract_x
_atom_site_fract_y
_atom_site_fract_z
V1 V 0.0000 0.0000 0.0000
Fe1 Fe 0.3350 0.3350 0.6650
Fe2 Fe 0.6650 0.6650 0.3350
Pd1 Pd 0.0096 0.3242 0.6758
Pd2 Pd 0.3242 0.0096 0.9904
Pd3 Pd 0.3420 0.6580 0.3420
Pd4 Pd 0.6580 0.3420 0.6580
Pd5 Pd 0.6758 0.9904 0.0096
Pd6 Pd 0.9904 0.6758 0.3242
```

---

# 10
Density functional theory data (PBE) for an optimized crystal structure of Sm4AlCu2.

Output
total moment = 0.000 Bohr magnetons per cell
SG = R-3m
energy relative to the elements = -0.08 eV per atom

Geometry as CIF:
```
data_Sm4AlCu2
_chemical_formula_sum 'Sm4 Al1 Cu2'
_symmetry_space_group_name_H-M 'P 1'
_symmetry_Int_Tables_number 1
_symmetry_space_group_name_Hall 'P 1'
_cell_length_a 8.9818
_cell_length_b 8.9818
_cell_length_c 8.9818
_cell_angle_alpha 32.46
_cell_angle_beta 32.46
_cell_angle_gamma 32.46
loop_
_atom_site_label
_atom_site_type_symbol
_atom_site_fract_x
_atom_site_fract_y
_atom_site_fract_z
Sm1 Sm 0.1213 0.1213 0.1213
Sm2 Sm 0.2911 0.2911 0.2911
Sm3 Sm 0.7089 0.7089 0.7089
Sm4 Sm 0.8787 0.8787 0.8787
Al1 Al 0.5000 0.5000 0.5000
Cu1 Cu 0.4047 0.4047 0.4047
Cu2 Cu 0.5953 0.5953 0.5953
```